VASP calculation (PBE-GGA) on a relaxed structure of Cu2MoIr.

a = 2.798 Å, b = 2.798 Å, c = 7.012 Å
α = 90.00°, β = 90.00°, γ = 90.00°
Fractional positions:
1 Cu 0.000 0.000 0.000
2 Cu 0.500 0.500 0.219
3 Mo 0.500 0.500 0.731
4 Ir 0.000 0.000 0.477

Computed properties:
For the density of states at the Fermi level, the calculation gives 2.47 states/eV/cell. For the offset from the most stable computed form, the calculation gives 0 meV/atom. The crystal system is tetragonal. As for the space group: P4mm (99). The value obtained for the formation energy is 3.14 kJ/mol of atoms.

VASP calculation (PBE-GGA) on a relaxed structure of TiGeRh3.

a = 6.990 Å, b = 6.990 Å, c = 5.426 Å
α = 93.89°, β = 93.89°, γ = 33.18°
Fractional positions:
1 Ti 0.100 0.100 0.495
2 Ti 0.900 0.900 0.505
3 Ge 0.310 0.310 0.188
4 Ge 0.690 0.690 0.812
5 Rh 0.117 0.117 0.014
6 Rh 0.291 0.291 0.679
7 Rh 0.497 0.497 0.752
8 Rh 0.503 0.503 0.248
9 Rh 0.709 0.709 0.321
10 Rh 0.883 0.883 0.986

Computed properties:
For the density of states at the Fermi level, the calculation gives 6.51 states/eV/cell. For the offset from the most stable computed form, the calculation gives 55 meV/atom. The crystal system is monoclinic. As for the space group: C2/m (12). The value obtained for the formation energy is -57.28 kJ/mol of atoms.

VASP calculation (PBE-GGA) on a relaxed structure of LiSmCu2Si2.

a = 4.093 Å, b = 4.093 Å, c = 6.686 Å
α = 90.00°, β = 90.00°, γ = 120.00°
Fractional positions:
1 Li 0.000 0.000 0.000
2 Sm 0.000 0.000 0.500
3 Cu 0.333 0.667 0.165
4 Cu 0.667 0.333 0.835
5 Si 0.333 0.667 0.789
6 Si 0.667 0.333 0.211

Computed properties:
As for the total energy: -4.750 eV/atom. For the density of states at the Fermi level, the calculation gives 2.99 states/eV/cell. The crystal system is trigonal. As for the space group: P-3m1 (164).

VASP calculation (PBE-GGA) on a relaxed structure of CeSm2GaN4.

a = 6.104 Å, b = 6.104 Å, c = 12.068 Å
α = 90.00°, β = 90.00°, γ = 146.91°
Fractional positions:
1 Ce 0.107 0.893 0.750
2 Ce 0.893 0.107 0.250
3 Sm 0.369 0.631 0.545
4 Sm 0.369 0.631 0.955
5 Sm 0.631 0.369 0.045
6 Sm 0.631 0.369 0.455
7 Ga 0.163 0.837 0.250
8 Ga 0.837 0.163 0.750
9 N 0.000 0.000 0.000
10 N 0.000 0.000 0.500
11 N 0.272 0.728 0.129
12 N 0.272 0.728 0.371
13 N 0.438 0.562 0.750
14 N 0.562 0.438 0.250
15 N 0.728 0.272 0.629
16 N 0.728 0.272 0.871

Computed properties:
As for the total energy: -7.540 eV/atom. For the density of states at the Fermi level, the calculation gives 11.86 states/eV/cell. The crystal system is orthorhombic. As for the space group: Cmcm (63).